No. 1
YTcW2: optimized geometry, GGA-PBE.

formation energy from the elements	0.381	eV per atom
calculated density	12468	kg/m3
total magnetic moment	0.00	μB per formula unit
energy relative to the lowest polymorph listed for this composition	0.60	eV per formula unit

a b c (Å): 2.951 4.355 5.853
angles (deg): 90.00 100.88 90.00
Atoms (fractional coordinates):
1 Y 0.000 0.000 0.000
2 Tc 0.757 0.500 0.288
3 W 0.273 0.500 0.698
4 W 0.515 0.000 0.493

---

No. 2
YTcW2: optimized geometry, GGA-PBE.

formation energy from the elements	0.252	eV per atom
calculated density	12871	kg/m3
total magnetic moment	0.00	μB per formula unit
energy relative to the lowest polymorph listed for this composition	0.08	eV per formula unit

a b c (Å): 5.582 5.582 5.582
angles (deg): 146.56 131.10 60.54
Atoms (fractional coordinates):
1 Y 0.000 0.000 0.000
2 Tc 0.500 0.500 0.000
3 W 0.267 0.767 0.500
4 W 0.733 0.233 0.500

---

No. 3
YTcW3: optimized geometry, GGA-PBE.

formation energy from the elements	3.289	eV per atom
calculated density	11785	kg/m3
total magnetic moment	0.00	μB per formula unit
energy relative to the lowest polymorph listed for this composition	9.56	eV per formula unit

a b c (Å): 4.703 4.703 4.703
angles (deg): 90.00 90.00 90.00
Atoms (fractional coordinates):
1 Y 0.000 0.000 0.000
2 Tc 0.500 0.500 0.500
3 W 0.000 0.000 0.500
4 W 0.000 0.500 0.000
5 W 0.500 0.000 0.000

---

No. 4
YTcW2: optimized geometry, GGA-PBE.

formation energy from the elements	0.523	eV per atom
calculated density	12442	kg/m3
total magnetic moment	0.00	μB per formula unit
energy relative to the lowest polymorph listed for this composition	1.17	eV per formula unit

a b c (Å): 9.176 9.176 9.176
angles (deg): 19.33 19.33 19.33
Atoms (fractional coordinates):
1 Y 0.000 0.000 0.000
2 Tc 0.758 0.758 0.758
3 W 0.238 0.238 0.238
4 W 0.498 0.498 0.498

---

No. 5
Y3TcW: optimized geometry, GGA-PBE.

formation energy from the elements	1.005	eV per atom
calculated density	6398	kg/m3
total magnetic moment	3.60	μB per formula unit
energy relative to the lowest polymorph listed for this composition	0.00	eV per formula unit

a b c (Å): 5.222 5.222 5.222
angles (deg): 90.00 90.00 90.00
Atoms (fractional coordinates):
1 Y 0.000 0.000 0.500
2 Y 0.000 0.500 0.000
3 Y 0.500 0.000 0.000
4 Tc 0.000 0.000 0.000
5 W 0.500 0.500 0.500

---

No. 6
YTcW2: optimized geometry, GGA-PBE.

formation energy from the elements	0.231	eV per atom
calculated density	12503	kg/m3
total magnetic moment	0.00	μB per formula unit
energy relative to the lowest polymorph listed for this composition	0.00	eV per formula unit

a b c (Å): 3.215 3.215 7.125
angles (deg): 90.00 90.00 90.00
Atoms (fractional coordinates):
1 Y 0.000 0.000 0.000
2 Tc 0.500 0.500 0.290
3 W 0.000 0.000 0.493
4 W 0.500 0.500 0.706

---

No. 7
YTcW3: optimized geometry, GGA-PBE.

formation energy from the elements	1.377	eV per atom
calculated density	11208	kg/m3
total magnetic moment	0.00	μB per formula unit
energy relative to the lowest polymorph listed for this composition	0.00	eV per formula unit

a b c (Å): 4.783 4.783 4.783
angles (deg): 90.00 90.00 90.00
Atoms (fractional coordinates):
1 Y 0.000 0.000 0.000
2 Tc 0.500 0.500 0.500
3 W 0.000 0.500 0.500
4 W 0.500 0.000 0.500
5 W 0.500 0.500 0.000

---

No. 8
Y2Tc2W: optimized geometry, GGA-PBE.

formation energy from the elements	0.082	eV per atom
calculated density	8825	kg/m3
total magnetic moment	0.00	μB per formula unit

a b c (Å): 6.578 6.578 4.850
angles (deg): 90.00 90.00 90.00
Atoms (fractional coordinates):
1 Y 0.179 0.321 0.000
2 Y 0.321 0.821 0.000
3 Y 0.679 0.179 0.000
4 Y 0.821 0.679 0.000
5 Tc 0.132 0.632 0.500
6 Tc 0.368 0.132 0.500
7 Tc 0.632 0.868 0.500
8 Tc 0.868 0.368 0.500
9 W 0.000 0.000 0.500
10 W 0.500 0.500 0.500